(1)
Entry from OQMD: crystalline HoHgAs at its relaxed geometry (PBE).

Structure (POSCAR):
```
HoHgAs
1.0
-4.592 -0.040 1.644
-2.962 3.757 -0.946
-3.704 -0.542 -3.126
As Ho Hg
1 1 1
direct
0.250 0.250 0.250
0.000 0.000 0.000
0.750 0.750 0.750
```

Calculated values
spin magnetization: 0.001 μB per cell
crystal system: cubic
volume: 27.3 Å³ per atom
space group: F-43m (216)



(2)
Entry from OQMD: crystalline HoHgAs at its relaxed geometry (PBE).

Structure (POSCAR):
```
HoHgAs
1.0
0.000 3.404 3.404
3.404 0.000 3.404
3.404 3.404 0.000
Hg Ho As
1 1 1
direct
0.250 0.250 0.250
0.750 0.750 0.750
0.000 0.000 0.000
```

Calculated values
spin magnetization: 0.030 μB per cell
crystal system: cubic
volume: 26.3 Å³ per atom
space group: F-43m (216)



List of relative energies, unit meV/atom: (1) 0; (2) 198